A relaxed CsAcNpO4 crystal. Source: Alexandria via LeMat-Bulk, functional GGA-PBE.

Results
uncorrected formation energy	-2.719	eV per atom
E	-113.539	eV per cell

Structure (POSCAR):
```
CsAcNpO4
1.0
-2.811 5.160 -4.123
-3.492 -6.699 0.246
-0.026 4.949 6.212
Cs O Np Ac
2 8 2 2
direct
0.134 0.269 0.884
0.866 0.731 0.116
0.756 0.086 0.293
0.266 0.532 0.696
0.331 0.086 0.293
0.734 0.468 0.663
0.669 0.914 0.707
0.266 0.532 0.337
0.244 0.914 0.707
0.734 0.468 0.304
0.500 0.500 0.500
0.000 0.500 0.500
0.500 0.000 0.000
0.500 0.000 0.500
```

=====

A relaxed Y12Tm5Th2 crystal. Source: Alexandria via LeMat-Bulk, functional GGA-PBE.

Results
ΔE to the lowest computed polymorph	0.000	eV per atom
E	-112.714	eV per cell
calculated formation energy	108	meV per atom

Structure (POSCAR):
```
Y12Tm5Th2
1.0
8.593 0.874 -1.302
-2.588 7.940 -5.517
-1.945 -2.648 10.796
Th Tm Y
2 5 12
direct
0.796 0.119 0.080
0.204 0.881 0.920
0.000 0.001 0.502
0.678 0.171 0.570
0.406 0.643 0.643
0.594 0.357 0.356
0.321 0.829 0.430
0.769 0.915 0.692
0.573 0.617 0.235
0.594 0.883 0.138
0.819 0.678 0.874
0.007 0.361 0.535
0.993 0.638 0.465
0.164 0.547 0.962
0.231 0.085 0.308
0.837 0.453 0.038
0.181 0.322 0.124
0.427 0.383 0.765
0.407 0.117 0.862
```

=====

A relaxed CeMg16Al12 crystal. Source: Alexandria via LeMat-Bulk, functional GGA-PBE.

Results
E	-78.158	eV per cell
calculated formation energy	-62	meV per atom

Structure (POSCAR):
```
CeMg16Al12
1.0
-8.190 -0.282 4.252
4.163 -8.220 0.578
5.320 6.528 3.782
Al Mg Ce
12 16 1
direct
0.811 0.172 0.811
0.001 0.365 0.186
0.365 0.001 0.186
0.172 0.811 0.811
0.628 0.811 0.628
0.365 0.186 0.001
0.186 0.365 0.001
0.811 0.811 0.172
0.186 0.001 0.365
0.628 0.628 0.811
0.001 0.186 0.365
0.811 0.628 0.628
0.316 0.718 0.316
0.001 0.689 0.393
0.276 0.610 0.610
0.998 0.656 0.998
0.995 0.995 0.995
0.393 0.689 0.001
0.689 0.393 0.001
0.393 0.001 0.689
0.656 0.998 0.998
0.689 0.001 0.393
0.998 0.998 0.656
0.718 0.316 0.316
0.610 0.276 0.610
0.610 0.610 0.276
0.316 0.316 0.718
0.001 0.393 0.689
0.373 0.373 0.373
```

=====

A relaxed Ac3La2Sm2 crystal. Source: Alexandria via LeMat-Bulk, functional GGA-PBE.

Results
E	-31.381	eV per cell
calculated formation energy	34	meV per atom

Structure (POSCAR):
```
Ac3La2Sm2
1.0
5.686 0.000 0.755
0.000 3.782 0.000
1.170 0.000 12.983
Ac Sm La
3 2 2
direct
0.000 0.000 0.000
0.847 0.000 0.306
0.153 0.000 0.694
0.715 0.500 0.570
0.285 0.500 0.430
0.574 0.500 0.853
0.426 0.500 0.147
```

=====

A relaxed ZnHBr3 crystal. Source: Alexandria via LeMat-Bulk, functional GGA-PBE.

Results
ΔE to the lowest computed polymorph	0.000	eV per atom
E	-8.512	eV per cell

Structure (POSCAR):
```
ZnHBr3
1.0
5.190 0.000 0.000
0.000 5.190 0.000
0.000 0.000 5.190
Br H Zn
3 1 1
direct
0.000 0.500 0.000
0.500 0.000 0.000
0.000 0.000 0.500
0.500 0.500 0.500
0.000 0.000 0.000
```

=====

A relaxed Nd3YSc3Se8 crystal. Source: Alexandria via LeMat-Bulk, functional GGA-PBE.

Results
uncorrected formation energy	-1.776	eV per atom
E	-94.277	eV per cell

Structure (POSCAR):
```
Nd3YSc3Se8
1.0
8.014 0.000 0.000
-4.007 6.939 -0.026
0.000 -4.603 6.736
Sc Nd Se Y
3 3 8 1
direct
0.500 0.500 0.500
0.000 0.500 0.500
0.500 0.000 0.500
0.000 0.500 0.000
0.500 0.500 0.000
0.000 0.000 0.000
0.254 0.507 0.735
0.746 0.493 0.265
0.746 0.019 0.265
0.272 0.019 0.265
0.728 0.981 0.735
0.254 0.981 0.735
0.741 0.481 0.722
0.259 0.519 0.278
0.000 0.000 0.500
```

=====

| no. | spin magnetization (μB/f.u.) |
| --- | --- |
| 1 | 3.000 |
| 2 | 0.000 |
| 3 | 0.992 |
| 4 | 0.000 |
| 5 | 0.621 |
| 6 | 0.000 |